{"formula": "TiAgPO6", "functional": "PBE", "state": "relaxed", "e_form_raw_ev_per_fu": -14.54, "space_group": "No. 149", "energy_ev_per_atom": -6.72, "cell": [[4.9735, 0.0000, 0.0000], [-2.4867, 4.3072, 0.0000], [0.0000, 0.0000, 4.5627]], "species": ["Ti", "Ag", "P", "O", "O", "O", "O", "O", "O"], "frac_coords": [[0.0000, 0.0000, 0.0000], [0.6667, 0.3333, 0.5000], [0.3333, 0.6667, 0.0000], [0.0598, 0.3684, 0.2086], [0.0598, 0.6914, 0.7914], [0.3086, 0.3684, 0.7914], [0.3086, 0.9402, 0.2086], [0.6316, 0.6914, 0.2086], [0.6316, 0.9402, 0.7914]]}



{"formula": "Tl2Ag3P3O12", "functional": "PBE", "state": "relaxed", "e_form_raw_ev_per_fu": -27.49, "space_group": "No. 15", "energy_ev_per_atom": -5.83, "cell": [[6.5594, -6.7198, 0.0000], [6.5594, 6.7198, 0.0000], [-3.0082, 0.0000, 6.1830]], "species": ["Tl", "Tl", "Tl", "Tl", "Ag", "Ag", "Ag", "Ag", "Ag", "Ag", "P", "P", "P", "P", "P", "P", "O", "O", "O", "O", "O", "O", "O", "O", "O", "O", "O", "O", "O", "O", "O", "O", "O", "O", "O", "O", "O", "O", "O", "O"], "frac_coords": [[0.0727, 0.3811, 0.1499], [0.3811, 0.0727, 0.6499], [0.6189, 0.9273, 0.3501], [0.9273, 0.6189, 0.8501], [0.0176, 0.9824, 0.7500], [0.2857, 0.7143, 0.7500], [0.5000, 0.5000, 0.0000], [0.5000, 0.5000, 0.5000], [0.7143, 0.2857, 0.2500], [0.9824, 0.0176, 0.2500], [0.1323, 0.3367, 0.6321], [0.2796, 0.7204, 0.2500], [0.3367, 0.1323, 0.1321], [0.6633, 0.8677, 0.8679], [0.7204, 0.2796, 0.7500], [0.8677, 0.6633, 0.3679], [0.0109, 0.3315, 0.4134], [0.0571, 0.3977, 0.8110], [0.1556, 0.1666, 0.6117], [0.1642, 0.7357, 0.0431], [0.1666, 0.1556, 0.1117], [0.2643, 0.8358, 0.4569], [0.2654, 0.5597, 0.2734], [0.2802, 0.4321, 0.6773], [0.3315, 0.0109, 0.9134], [0.3977, 0.0571, 0.3110], [0.4321, 0.2802, 0.1773], [0.4403, 0.7346, 0.2266], [0.5597, 0.2654, 0.7734], [0.5679, 0.7198, 0.8227], [0.6023, 0.9429, 0.6890], [0.6685, 0.9891, 0.0866], [0.7198, 0.5679, 0.3227], [0.7346, 0.4403, 0.7266], [0.7357, 0.1642, 0.5431], [0.8334, 0.8444, 0.8883], [0.8358, 0.2643, 0.9569], [0.8444, 0.8334, 0.3883], [0.9429, 0.6023, 0.1890], [0.9891, 0.6685, 0.5866]]}